(1)
Entry from Alexandria: an optimized crystal structure of Cs2CdAgO (PBE).

POSCAR file:
```
Cs2CdAgO
1.0
6.457 0.000 0.000
0.000 6.457 0.000
0.000 0.000 4.450
O Cd Cs Ag
1 1 2 1
Cartesian
0.000 0.000 0.000
0.000 0.000 2.225
3.229 0.000 0.000
0.000 3.229 0.000
3.229 3.229 2.225
```

- N(E_F) (states/eV per cell) = 1.21
- relative energy among the computed polymorphs (meV/atom) = 0
- formation energy from raw total energies (eV per atom) = -0.39


(2)
Entry from Alexandria: an optimized crystal structure of CsCd2AgPb (PBE).

POSCAR file:
```
CsCd2AgPb
1.0
5.569 0.000 0.000
0.000 5.569 0.000
0.000 0.000 5.644
Pb Cd Ag Cs
1 2 1 1
Cartesian
0.000 0.000 2.822
2.784 0.000 0.000
0.000 2.784 0.000
0.000 0.000 0.000
2.784 2.784 2.822
```

- N(E_F) (states/eV per cell) = 2.88
- energy of formation from the pure elements (eV/atom) = 0.100


(3)
Entry from Alexandria: an optimized crystal structure of CsCd2AgPd (PBE).

POSCAR file:
```
CsCd2AgPd
1.0
-4.990 -1.901 0.245
1.915 -4.919 0.838
-0.074 0.889 5.388
Pd Ag Cd Cs
1 1 2 1
Cartesian
0.000 0.000 0.000
-0.037 0.444 2.694
-2.495 -0.950 0.122
0.958 -2.460 0.419
-1.574 -2.966 3.235
```

- N(E_F) (states/eV per cell) = 1.25
- energy of formation from the pure elements (eV/atom) = -0.064


(4)
Entry from Alexandria: an optimized crystal structure of Cs4Cd12AgPt3 (PBE).

POSCAR file:
```
Cs4Cd12AgPt3
1.0
9.404 0.000 0.000
-3.135 8.866 0.000
-3.135 -4.433 7.678
Cs Cd Ag Pt
4 12 1 3
Cartesian
-1.567 4.433 0.000
4.702 0.000 0.000
1.567 2.216 3.839
-1.567 -2.216 3.839
4.672 -3.304 5.722
-1.567 4.433 3.839
4.702 3.325 1.920
1.567 5.541 1.920
4.702 0.000 3.839
1.597 2.258 0.000
4.672 6.608 0.000
-1.567 1.108 5.759
-1.597 1.129 1.956
1.567 -1.108 5.759
-4.672 3.304 5.722
1.597 -1.129 1.956
0.000 0.000 0.000
-3.135 2.216 3.839
3.135 -2.216 3.839
3.135 4.433 0.000
```

- N(E_F) (states/eV per cell) = 7.30
- energy of formation from the pure elements (eV/atom) = -0.178


(5)
Entry from Alexandria: an optimized crystal structure of CsCd2AgPt (PBE).

POSCAR file:
```
CsCd2AgPt
1.0
5.341 0.000 0.000
0.000 5.341 0.000
0.000 0.000 5.437
Ag Cd Pt Cs
1 2 1 1
Cartesian
0.000 0.000 2.719
0.000 2.671 0.000
2.671 0.000 0.000
0.000 0.000 0.000
2.671 2.671 2.719
```

- N(E_F) (states/eV per cell) = 1.47
- energy of formation from the pure elements (eV/atom) = -0.096


(6)
Entry from Alexandria: an optimized crystal structure of Cs2CdAgPt (PBE).

POSCAR file:
```
Cs2CdAgPt
1.0
6.673 0.000 0.000
0.000 6.673 0.000
0.000 0.000 5.243
Pt Cd Cs Ag
1 1 2 1
Cartesian
0.000 0.000 0.000
0.000 0.000 2.622
3.336 0.000 0.000
0.000 3.336 0.000
3.336 3.336 2.622
```

- N(E_F) (states/eV per cell) = 3.10
- energy of formation from the pure elements (eV/atom) = 0.058


(7)
Entry from Alexandria: an optimized crystal structure of CsRbCd2Ag (PBE).

POSCAR file:
```
CsRbCd2Ag
1.0
5.666 0.000 0.000
0.000 5.666 0.000
0.000 0.000 6.546
Ag Cd Cs Rb
1 2 1 1
Cartesian
0.000 0.000 0.000
2.833 0.000 0.000
0.000 2.833 0.000
0.000 0.000 3.273
2.833 2.833 3.273
```

- N(E_F) (states/eV per cell) = 2.51
- energy of formation from the pure elements (eV/atom) = 0.089
- relative energy among the computed polymorphs (meV/atom) = 29


(8)
Entry from Alexandria: an optimized crystal structure of CsRbCd2Ag (PBE).

POSCAR file:
```
CsRbCd2Ag
1.0
5.663 0.000 0.000
0.000 5.663 0.000
0.000 0.000 6.391
Cd Rb Cs Ag
2 1 1 1
Cartesian
0.000 2.831 0.000
2.831 0.000 0.000
0.000 0.000 3.196
2.831 2.831 3.196
0.000 0.000 0.000
```

- N(E_F) (states/eV per cell) = 2.58
- energy of formation from the pure elements (eV/atom) = 0.060
- relative energy among the computed polymorphs (meV/atom) = 0


(9)
Entry from Alexandria: an optimized crystal structure of CsRbCd3Ag (PBE).

POSCAR file:
```
CsRbCd3Ag
1.0
8.210 0.676 0.000
2.586 7.009 0.000
1.293 3.505 8.907
Cd Rb Cs Ag
6 2 2 2
Cartesian
7.323 7.902 1.440
10.164 7.130 1.440
7.450 4.012 5.077
4.638 7.178 3.830
1.925 4.060 7.467
4.766 3.287 7.467
4.638 7.178 7.734
7.450 4.012 1.173
3.345 3.674 3.748
8.743 7.516 5.159
7.450 4.012 7.883
4.638 7.178 1.024
```

- N(E_F) (states/eV per cell) = 7.05
- energy of formation from the pure elements (eV/atom) = 0.012


(10)
Entry from Alexandria: an optimized crystal structure of Cs2CdAgRu (PBE).

POSCAR file:
```
Cs2CdAgRu
1.0
7.113 0.000 0.000
0.000 5.217 0.000
0.000 0.000 7.113
Cd Ag Ru Cs
1 1 1 2
Cartesian
0.000 0.000 0.000
3.557 2.608 3.557
0.000 2.608 0.000
0.000 0.000 3.557
3.557 0.000 0.000
```

- N(E_F) (states/eV per cell) = 2.77
- energy of formation from the pure elements (eV/atom) = 0.886


(11)
Entry from Alexandria: an optimized crystal structure of Cs2TlCdAg (PBE).

POSCAR file:
```
Cs2TlCdAg
1.0
7.081 0.000 0.000
0.000 5.422 0.000
0.000 0.000 7.081
Tl Cs Cd Ag
1 2 1 1
Cartesian
0.000 2.711 0.000
0.000 0.000 3.541
3.541 0.000 0.000
3.541 2.711 3.541
0.000 0.000 0.000
```

- N(E_F) (states/eV per cell) = 6.67
- energy of formation from the pure elements (eV/atom) = 0.124


(12)
Entry from Alexandria: an optimized crystal structure of Cs2TlCd12Ag3 (PBE).

POSCAR file:
```
Cs2TlCd12Ag3
1.0
-4.702 -6.312 -5.229
4.411 -8.138 -1.899
-3.164 -7.729 4.420
Ag Cd Tl Cs
3 12 1 2
Cartesian
-2.351 -3.156 -2.615
-1.582 -3.865 2.210
2.206 -4.069 -0.949
-3.862 -16.908 -3.537
-5.245 -15.287 -1.410
1.790 -6.891 -1.298
-2.603 -4.667 -0.271
0.407 -5.271 0.829
-0.650 -16.208 0.269
-0.852 -17.511 -2.437
-3.354 -17.376 -0.350
-0.101 -4.802 -2.358
-2.805 -5.971 -2.977
-2.030 -6.685 1.888
-1.425 -15.493 -4.596
0.000 0.000 0.000
-2.047 -13.138 -1.604
-1.408 -9.040 -1.104
```

- N(E_F) (states/eV per cell) = 7.02
- energy of formation from the pure elements (eV/atom) = 0.154


Which of these has the lowest N(E_F)? Cs2CdAgO